4
Lattice="-2.0833 -3.1255 -0.4597 3.6041 0.0580 -1.1522 2.2617 -2.5292 6.9471" Properties=species:S:1:pos:R:3 comment="CrCl, optimized geometry, DFT PBE-GGA" final_energy_ev_per_atom=-5.75 dos_ef_per_ev_cell=1.61 pbc="T T T"
Cr 2.4863 -1.8732 1.4683
Cr 1.7213 -4.1990 5.1727
Cl 1.7694 -1.0715 -0.7337
Cl 1.0044 -3.3973 2.9707

=====

6
Lattice="-1.8593 -3.5692 1.8939 -0.3944 -0.9599 4.3251 -9.0825 2.8814 2.3800" Properties=species:S:1:pos:R:3 comment="CrCl, optimized geometry, DFT PBE-GGA" final_energy_ev_per_atom=-5.73 dos_ef_per_ev_cell=1.24 pbc="T T T"
Cr -3.4714 -0.1486 2.2512
Cr -6.1199 1.6798 1.8846
Cr -9.5542 1.6692 3.9653
Cl -10.8049 -1.6759 8.3092
Cl -7.3997 -1.6394 6.2183
Cl -3.8516 -1.6718 4.1151

=====

6
Lattice="1.6913 -8.4250 0.0000 1.6913 8.4250 0.0000 0.0000 0.0000 3.8444" Properties=species:S:1:pos:R:3 comment="Cr2Cl, optimized geometry, DFT PBE-GGA" de_polymorph_mev_per_atom=15 dos_ef_per_ev_cell=1.40 pbc="T T T"
Cr 1.6913 7.3965 2.8833
Cr 1.6913 0.9071 2.8833
Cr 1.6913 -0.9071 0.9611
Cr 1.6913 -7.3965 0.9611
Cl 1.6913 -5.7378 2.8833
Cl 1.6913 5.7378 0.9611

=====

4
Lattice="-3.7220 -0.6116 2.4762 -2.2260 -3.9194 -0.2032 0.0713 -2.8202 3.5214" Properties=species:S:1:pos:R:3 comment="Cr3Cl, optimized geometry, DFT PBE-GGA" de_polymorph_mev_per_atom=647 dos_ef_per_ev_cell=2.57 pbc="T T T"
Cr -4.4076 -5.5134 4.3458
Cr -2.9384 -3.6756 2.8972
Cr -1.4692 -1.8378 1.4486
Cl 0.0000 0.0000 0.0000

=====

4
Lattice="0.4943 -0.1227 9.5565 2.3943 -2.9661 8.7782 3.8896 0.2062 8.7416" Properties=species:S:1:pos:R:3 comment="CrCl3, optimized geometry, DFT PBE-GGA" final_energy_ev_per_atom=-4.25 dos_ef_per_ev_cell=6.78 pbc="T T T"
Cr 3.3891 -1.4413 13.5381
Cl 0.0000 0.0000 0.0000
Cl 5.9842 -2.5449 23.9048
Cl 0.7939 -0.3376 3.1715

=====

4
Lattice="-2.5752 1.4905 3.9872 -3.0261 -1.1214 -3.7863 2.9930 -3.8162 1.1087" Properties=species:S:1:pos:R:3 comment="CrCl3, optimized geometry, DFT PBE-GGA" final_energy_ev_per_atom=-3.70 dos_ef_per_ev_cell=4.49 pbc="T T T"
Cr -0.0165 -2.4688 -1.3388
Cl 0.0000 0.0000 0.0000
Cl 0.2089 -1.1629 2.5479
Cl -2.8006 0.1845 0.1004

=====

4
Lattice="-0.9872 0.5212 5.0808 0.1008 -3.9228 3.4150 2.4523 2.8920 -3.5613" Properties=species:S:1:pos:R:3 comment="Cr3Cl, optimized geometry, DFT PBE-GGA" de_polymorph_mev_per_atom=519 dos_ef_per_ev_cell=4.63 pbc="T T T"
Cr 1.9294 1.0056 0.6039
Cr 0.8330 1.6694 2.7758
Cr 1.2938 -0.8720 2.7405
Cl 0.0070 0.0164 0.0073

=====

8
Lattice="-3.9921 -2.3776 -7.2214 3.3683 -7.8653 0.7276 -2.2473 -5.8298 -1.9438" Properties=species:S:1:pos:R:3 comment="CrCl3, optimized geometry, DFT PBE-GGA" final_energy_ev_per_atom=-4.49 dos_ef_per_ev_cell=1.74 pbc="T T T"
Cr 0.0000 0.0000 0.0000
Cr -3.2756 -6.6644 -6.2061
Cl -0.3119 -5.1215 -3.2469
Cl 0.4046 -9.4083 -2.2316
Cl -3.2080 -4.2674 -5.9434
Cl -2.3755 -8.7074 -7.1203
Cl -2.4021 -7.0862 -3.9973
Cl -5.1168 -6.5969 -7.7633